First-principles (PBE) data for an optimized crystal structure of ZrTi2PdC, as listed in Alexandria via LeMat-Bulk.

Fermi-level density of states: 5.674 states/eV per cell
ΔH_f (0 K): -0.525 eV per atom

Cell lengths 4.1803, 4.1803, 4.5123 Å; angles 90.00, 90.00, 90.00 degrees
Last column: nearest neighbours and their distance in Å.
Fractional positions:
Zr1 0.0000 0.0000 0.0000  2 C 2.26
Ti1 0.0000 0.5000 0.5000  2 C 2.09
Ti2 0.5000 0.0000 0.5000  2 C 2.09
Pd1 0.5000 0.5000 0.0000  4 Zr 2.96, 8 Ti 3.08
C1 0.0000 0.0000 0.5000  4 Ti 2.09, 2 Zr 2.26

First-principles (PBE) data for an optimized crystal structure of AgRuO2, as listed in Alexandria via LeMat-Bulk.

Fermi-level density of states: 5.553 states/eV per cell
Formation energy (no corrections): -0.160 eV/atom

Cell lengths 5.7230, 5.7230, 5.7230 Å; angles 125.04, 125.04, 81.47 degrees
Last column: nearest neighbours and their distance in Å.
Fractional positions:
Ag1 0.0000 0.0000 0.0000  4 O 2.41
Ag2 0.7500 0.2500 0.5000  4 O 2.41
Ru1 0.2500 0.7500 0.5000  4 O 1.95
Ru2 0.5000 0.5000 0.0000  4 O 1.95
O1 0.1971 0.6250 0.0721  2 Ru 1.95
O2 0.3750 0.4471 0.5721  2 Ru 1.95
O3 0.5529 0.1250 0.9279  2 Ru 1.95
O4 0.8750 0.8029 0.4279  2 Ru 1.95

First-principles (PBE) data for an optimized crystal structure of ZnAg14Ge, as listed in Alexandria via LeMat-Bulk.

Fermi-level density of states: 6.126 states/eV per cell
ΔH_f (0 K): 0.048 eV per atom

Cell lengths 9.4984, 5.8220, 5.8220 Å; angles 61.84, 90.00, 90.00 degrees
Last column: nearest neighbours and their distance in Å.
Fractional positions:
Zn1 0.0000 0.0000 0.0000  10 Ag 2.87-2.93, 2 Ge 2.99
Ag1 0.0000 0.0029 0.5020  2 Zn 2.89-2.93, 8 Ag 2.90-3.00, 2 Ge 2.91
Ag2 0.0000 0.5020 0.0029  2 Zn 2.89-2.93, 8 Ag 2.90-3.00, 2 Ge 2.91
Ag3 0.2453 0.3255 0.8301  1 Zn 2.87, 1 Ge 2.88, 10 Ag 2.89-3.02
Ag4 0.2453 0.8301 0.3255  1 Zn 2.87, 1 Ge 2.88, 10 Ag 2.89-3.02
Ag5 0.2488 0.8295 0.8295  11 Ag 2.89-2.99, 1 Zn 2.91
Ag6 0.2518 0.3287 0.3287  11 Ag 2.90-2.99, 1 Ge 2.95
Ag7 0.5000 0.1569 0.1569  12 Ag 2.90-2.99
Ag8 0.5000 0.1572 0.6586  12 Ag 2.90-3.00
Ag9 0.5000 0.6564 0.6564  12 Ag 2.90-2.99
Ag10 0.5000 0.6586 0.1572  12 Ag 2.90-3.00
Ag11 0.7482 0.3287 0.3287  11 Ag 2.90-2.99, 1 Ge 2.95
Ag12 0.7512 0.8295 0.8295  11 Ag 2.89-2.99, 1 Zn 2.91
Ag13 0.7547 0.3255 0.8301  1 Zn 2.87, 1 Ge 2.88, 10 Ag 2.89-3.02
Ag14 0.7547 0.8301 0.3255  1 Zn 2.87, 1 Ge 2.88, 10 Ag 2.89-3.02
Ge1 0.0000 0.5022 0.5022  10 Ag 2.88-2.95, 2 Zn 2.99

First-principles (PBE) data for an optimized crystal structure of Cu2Sn2Ge, as listed in Alexandria via LeMat-Bulk.

Fermi-level density of states: 2.101 states/eV per cell
ΔH_f (0 K): 0.183 eV per atom
Energy relative to the lowest polymorph listed for this composition: 35 meV/atom

Cell lengths 8.3803, 8.3803, 8.3803 Å; angles 155.75, 155.75, 34.56 degrees
Last column: nearest neighbours and their distance in Å.
Fractional positions:
Cu1 0.2500 0.7500 0.5000  4 Cu 2.49
Cu2 0.7500 0.2500 0.5000  4 Cu 2.49
Sn1 0.1144 0.1144 0.0000  4 Cu 2.79, 4 Ge 3.09
Sn2 0.8856 0.8856 0.0000  4 Cu 2.79, 4 Ge 3.09
Ge1 0.5000 0.5000 0.0000  8 Sn 3.09